A geometry-optimized ZrRe2Sn structure, computed with PBE.

The value obtained for the density of states at the Fermi level is 1.476 states/eV/atom. For the size of the total moment, the calculation gives 0.00 μB/atom. For the total energy, the calculation gives -134.45 eV per cell.

abc: 7.558 7.558 5.532
angles: 90.00 90.00 90.00
Element x y z (fractional)
Zr1 0.000 0.000 0.000
Zr2 0.000 0.500 0.250
Zr3 0.500 0.000 0.750
Zr4 0.500 0.500 0.500
Re1 0.249 0.750 0.625
Re2 0.250 0.249 0.375
Re3 0.250 0.251 0.875
Re4 0.251 0.750 0.125
Re5 0.749 0.250 0.125
Re6 0.750 0.749 0.875
Re7 0.750 0.751 0.375
Re8 0.751 0.250 0.625
Sn1 0.000 0.000 0.500
Sn2 0.000 0.500 0.750
Sn3 0.500 0.000 0.250
Sn4 0.500 0.500 0.000

=====

A geometry-optimized CaCeHoLu structure, computed with PBE.

The value obtained for the density of states at the Fermi level is 2.129 states/eV/atom. For the size of the total moment, the calculation gives 0.43 μB/atom. For the total energy, the calculation gives -64.32 eV per cell.

abc: 8.070 8.070 8.070
angles: 90.00 90.00 90.00
Element x y z (fractional)
Ca1 0.000 0.000 0.000
Ca2 0.000 0.500 0.500
Ca3 0.500 0.000 0.500
Ca4 0.500 0.500 0.000
Ce1 0.000 0.000 0.500
Ce2 0.000 0.500 0.000
Ce3 0.500 0.000 0.000
Ce4 0.500 0.500 0.500
Ho1 0.250 0.250 0.250
Ho2 0.250 0.750 0.750
Ho3 0.750 0.250 0.750
Ho4 0.750 0.750 0.250
Lu1 0.250 0.250 0.750
Lu2 0.250 0.750 0.250
Lu3 0.750 0.250 0.250
Lu4 0.750 0.750 0.750

=====

A geometry-optimized NaEuGd structure, computed with PBE.

The value obtained for the density of states at the Fermi level is 1.723 states/eV/atom. For the size of the total moment, the calculation gives 0.01 μB/atom. For the total energy, the calculation gives -48.72 eV per cell.

abc: 3.339 3.339 20.062
angles: 90.00 90.00 90.00
Element x y z (fractional)
Na1 0.000 0.000 0.000
Na2 0.500 0.500 0.500
Eu1 0.000 0.000 0.343
Eu2 0.500 0.500 0.843
Gd1 0.000 0.000 0.174
Gd2 0.500 0.500 0.674